Entry 1:
First-principles (PBEsol) data for a relaxed SiMo3Rh crystal, as listed in Alexandria.

Lattice parameters (Å, degrees): 4.382 4.382 4.382 90.00 90.00 90.00
Positions (direct):
Si 0.000 0.000 0.000
Mo 0.000 0.000 0.500
Mo 0.000 0.500 0.000
Mo 0.500 0.000 0.000
Rh 0.500 0.500 0.500

Calculated values
The density of states at the Fermi level comes out at 6.822 states/eV/cell. The symmetry is No. 221. As for the excess energy over the best structure of this formula in the dataset: 0.00 kcal/mol of atoms. Its total energy is -8.692 eV/atom. As for the formation energy (no corrections): 1.15 eV per atom.

=====

Entry 2:
First-principles (PBEsol) data for a relaxed AlSi3C crystal, as listed in Alexandria.

Lattice parameters (Å, degrees): 4.614 4.614 4.614 90.00 90.00 90.00
Positions (direct):
Al 0.000 0.000 0.000
Si 0.000 0.000 0.500
Si 0.000 0.500 0.000
Si 0.500 0.000 0.000
C 0.500 0.500 0.500

Calculated values
The density of states at the Fermi level comes out at 3.020 states/eV/cell. The symmetry is No. 221. Its total energy is -4.038 eV/atom. As for the formation energy (no corrections): 2.16 eV per atom.

=====

Entry 3:
First-principles (PBEsol) data for a relaxed TlPtBr crystal, as listed in Alexandria.

Lattice parameters (Å, degrees): 6.078 6.078 6.078 147.06 147.06 47.27
Positions (direct):
Tl 0.000 0.000 0.000
Pt 0.622 0.622 0.000
Br 0.281 0.281 0.000

Calculated values
The density of states at the Fermi level comes out at 1.795 states/eV/cell. The symmetry is No. 107. As for the excess energy over the best structure of this formula in the dataset: 3.99 kcal/mol of atoms. Its total energy is -3.581 eV/atom. As for the formation energy (no corrections): 0.24 eV per atom.